# Rb3Tb2TiSe6

A relaxed structure of Rb3Tb2TiSe6 (GGA-PBE, Alexandria via LeMat-Bulk).

Results
* DFT total energy: -59.081 eV/cell
* density: 5.110 g/cm3
* formation energy from raw total energies: -1748 kJ/mol of formula units
* space-group type: No. 12

abc: 7.184 7.184 8.322
angles: 98.31 98.31 120.00
Each line ends with the local moment (μB).
Fractional coordinates of all 12 atoms:
Rb  0.171  0.829  0.500  0.00
Rb  0.829  0.171  0.500  0.00
Rb  0.500  0.500  0.500  0.00
Tb  0.334  0.666  0.000  0.02
Tb  0.666  0.334  0.000  0.02
Ti  0.000  0.000  0.000  0.87
Se  0.937  0.623  0.810  -0.01
Se  0.751  0.751  0.192  -0.01
Se  0.063  0.377  0.190  -0.01
Se  0.623  0.937  0.810  -0.01
Se  0.249  0.249  0.808  -0.01
Se  0.377  0.063  0.190  -0.01

# MoRuRh2

A relaxed structure of MoRuRh2 (GGA-PBE, Alexandria via LeMat-Bulk).

Results
* DFT total energy: -35.261 eV/cell
* calculated formation energy: -113 meV per atom
* density: 11.600 g/cm3
* polymorph energy (0 for the lowest one): 0.0955 eV per atom
* space-group type: No. 139

abc: 4.761 4.761 4.763
angles: 132.46 132.46 69.48
Fractional coordinates of all 4 atoms:
Ru  0.250  0.750  0.500
Mo  0.750  0.250  0.500
Rh  0.000  0.000  0.000
Rh  0.500  0.500  0.000